(1)
# NdGd2Ag, relaxed, DFT PBE
data_NdGd2Ag
_space_group_name_H-M_alt 'P 1'
_space_group_IT_number 1
_cell_length_a 7.647
_cell_length_b 7.647
_cell_length_c 7.647
_cell_angle_alpha 90.00
_cell_angle_beta 90.00
_cell_angle_gamma 90.00
loop_
_space_group_symop_operation_xyz
'x,y,z'
loop_
_atom_site_label
_atom_site_type_symbol
_atom_site_fract_x
_atom_site_fract_y
_atom_site_fract_z
_atom_site_occupancy
Nd1 Nd 0.000 0.000 0.000 1
Nd2 Nd 0.000 0.500 0.500 1
Nd3 Nd 0.500 0.000 0.500 1
Nd4 Nd 0.500 0.500 0.000 1
Gd1 Gd 0.250 0.250 0.250 1
Gd2 Gd 0.250 0.250 0.750 1
Gd3 Gd 0.250 0.750 0.250 1
Gd4 Gd 0.250 0.750 0.750 1
Gd5 Gd 0.750 0.250 0.250 1
Gd6 Gd 0.750 0.250 0.750 1
Gd7 Gd 0.750 0.750 0.250 1
Gd8 Gd 0.750 0.750 0.750 1
Ag1 Ag 0.000 0.000 0.500 1
Ag2 Ag 0.000 0.500 0.000 1
Ag3 Ag 0.500 0.000 0.000 1
Ag4 Ag 0.500 0.500 0.500 1
# * crystal system: cubic
# * total magnetization: 16.572 μB per formula unit
# * density: 8.4 Mg/m³
# * offset from the most stable computed form: 0.173 eV per atom

---

(2)
# SmMgIn2, relaxed, DFT PBE
data_SmMgIn2
_space_group_name_H-M_alt 'P 1'
_space_group_IT_number 1
_cell_length_a 3.615
_cell_length_b 3.615
_cell_length_c 7.752
_cell_angle_alpha 90.00
_cell_angle_beta 90.00
_cell_angle_gamma 90.00
loop_
_space_group_symop_operation_xyz
'x,y,z'
loop_
_atom_site_label
_atom_site_type_symbol
_atom_site_fract_x
_atom_site_fract_y
_atom_site_fract_z
_atom_site_occupancy
Sm1 Sm 0.000 0.000 0.000 1
Mg1 Mg 0.000 0.000 0.500 1
In1 In 0.500 0.500 0.275 1
In2 In 0.500 0.500 0.725 1
# * crystal system: tetragonal
# * total magnetization: 0.000 μB per formula unit
# * VASP energy: -13.0 eV/f.u.
# * density: 6.6 Mg/m³

---

(3)
# TbHoTeAs, relaxed, DFT PBE
data_TbHoTeAs
_space_group_name_H-M_alt 'P 1'
_space_group_IT_number 1
_cell_length_a 4.141
_cell_length_b 4.141
_cell_length_c 21.940
_cell_angle_alpha 90.00
_cell_angle_beta 90.00
_cell_angle_gamma 120.00
loop_
_space_group_symop_operation_xyz
'x,y,z'
loop_
_atom_site_label
_atom_site_type_symbol
_atom_site_fract_x
_atom_site_fract_y
_atom_site_fract_z
_atom_site_occupancy
Tb1 Tb 0.000 0.000 0.000 1
Tb2 Tb 0.333 0.667 0.667 1
Tb3 Tb 0.667 0.333 0.333 1
Ho1 Ho 0.000 0.000 0.190 1
Ho2 Ho 0.333 0.667 0.856 1
Ho3 Ho 0.667 0.333 0.523 1
Te1 Te 0.000 0.000 0.428 1
Te2 Te 0.333 0.667 0.095 1
Te3 Te 0.667 0.333 0.762 1
As1 As 0.000 0.000 0.596 1
As2 As 0.333 0.667 0.263 1
As3 As 0.667 0.333 0.929 1
# * crystal system: trigonal
# * total magnetization: 0.000 μB per formula unit
# * VASP energy: -22.8 eV/f.u.
# * density: 8.0 Mg/m³

---

(4)
# Ba3AgO, relaxed, DFT PBE
data_Ba3AgO
_space_group_name_H-M_alt 'P 1'
_space_group_IT_number 1
_cell_length_a 6.281
_cell_length_b 6.281
_cell_length_c 6.281
_cell_angle_alpha 90.00
_cell_angle_beta 90.00
_cell_angle_gamma 90.00
loop_
_space_group_symop_operation_xyz
'x,y,z'
loop_
_atom_site_label
_atom_site_type_symbol
_atom_site_fract_x
_atom_site_fract_y
_atom_site_fract_z
_atom_site_occupancy
Ba1 Ba 0.000 0.000 0.500 1
Ba2 Ba 0.000 0.500 0.000 1
Ba3 Ba 0.500 0.000 0.000 1
Ag1 Ag 0.000 0.000 0.000 1
O1 O 0.500 0.500 0.500 1
# * crystal system: cubic
# * total magnetization: 0.000 μB per formula unit
# * density: 3.6 Mg/m³
# * offset from the most stable computed form: 1.173 eV per atom

---

(5)
# RbPb2Cl, relaxed, DFT PBE
data_RbPb2Cl
_space_group_name_H-M_alt 'P 1'
_space_group_IT_number 1
_cell_length_a 8.201
_cell_length_b 8.201
_cell_length_c 8.201
_cell_angle_alpha 90.00
_cell_angle_beta 90.00
_cell_angle_gamma 90.00
loop_
_space_group_symop_operation_xyz
'x,y,z'
loop_
_atom_site_label
_atom_site_type_symbol
_atom_site_fract_x
_atom_site_fract_y
_atom_site_fract_z
_atom_site_occupancy
Rb1 Rb 0.000 0.000 0.000 1
Rb2 Rb 0.000 0.500 0.500 1
Rb3 Rb 0.500 0.000 0.500 1
Rb4 Rb 0.500 0.500 0.000 1
Pb1 Pb 0.250 0.250 0.250 1
Pb2 Pb 0.250 0.250 0.750 1
Pb3 Pb 0.250 0.750 0.250 1
Pb4 Pb 0.250 0.750 0.750 1
Pb5 Pb 0.750 0.250 0.250 1
Pb6 Pb 0.750 0.250 0.750 1
Pb7 Pb 0.750 0.750 0.250 1
Pb8 Pb 0.750 0.750 0.750 1
Cl1 Cl 0.000 0.000 0.500 1
Cl2 Cl 0.000 0.500 0.000 1
Cl3 Cl 0.500 0.000 0.000 1
Cl4 Cl 0.500 0.500 0.500 1
# * crystal system: cubic
# * total magnetization: 0.000 μB per formula unit
# * density: 6.4 Mg/m³
# * offset from the most stable computed form: 0.655 eV per atom

---

(6)
# RbPm2Br7, relaxed, DFT PBE
data_RbPm2Br7
_space_group_name_H-M_alt 'P 1'
_space_group_IT_number 1
_cell_length_a 8.706
_cell_length_b 8.706
_cell_length_c 5.749
_cell_angle_alpha 90.00
_cell_angle_beta 90.00
_cell_angle_gamma 116.23
loop_
_space_group_symop_operation_xyz
'x,y,z'
loop_
_atom_site_label
_atom_site_type_symbol
_atom_site_fract_x
_atom_site_fract_y
_atom_site_fract_z
_atom_site_occupancy
Rb1 Rb 0.000 0.000 0.000 1
Pm1 Pm 0.302 0.698 0.500 1
Pm2 Pm 0.698 0.302 0.500 1
Br1 Br 0.049 0.326 0.500 1
Br2 Br 0.292 0.708 0.000 1
Br3 Br 0.326 0.049 0.500 1
Br4 Br 0.500 0.500 0.500 1
Br5 Br 0.674 0.951 0.500 1
Br6 Br 0.708 0.292 0.000 1
Br7 Br 0.951 0.674 0.500 1
# * crystal system: orthorhombic
# * total magnetization: 0.000 μB per formula unit
# * VASP energy: -40.6 eV/f.u.
# * density: 4.0 Mg/m³

---

Question: Among the records above, which one has the highest total magnetization?
Answer: NdGd2Ag